1.
{"formula": "Ta6NbRu", "functional": "PBE-GGA", "state": "relaxed", "lattice_angstrom": [[5.672, -0.812, -0.919], [-1.427, 5.549, -0.919], [-1.427, -1.592, 5.395]], "species": ["Ta", "Ta", "Ta", "Ta", "Ta", "Ta", "Ru", "Nb"], "fractional_positions": [[0.251, 0.251, 0.744], [0.749, 0.749, 0.256], [0.749, 0.256, 0.749], [0.744, 0.251, 0.251], [0.256, 0.749, 0.749], [0.251, 0.744, 0.251], [0.500, 0.500, 0.500], [0.000, 0.000, 0.000]], "crystal_system": "trigonal", "ef_kcal_per_mol_atoms": 2.07, "n_ef_per_ev_fu": 7.6}


2.
{"formula": "Dy2Y2Pt3", "functional": "PBE-GGA", "state": "relaxed", "lattice_angstrom": [[7.138, 0.000, -2.524], [-3.569, 6.182, -2.524], [0.000, 0.000, 7.571]], "species": ["Pt", "Pt", "Pt", "Pt", "Pt", "Pt", "Dy", "Dy", "Dy", "Dy", "Y", "Y", "Y", "Y"], "fractional_positions": [[0.624, 0.750, 0.874], [0.250, 0.874, 0.124], [0.876, 0.250, 0.626], [0.374, 0.124, 0.750], [0.126, 0.376, 0.250], [0.750, 0.626, 0.376], [0.374, 0.500, 0.000], [0.126, 0.626, 0.626], [0.500, 0.874, 0.500], [0.000, 0.000, 0.874], [0.627, 0.127, 0.127], [0.873, 0.500, 0.000], [0.000, 0.000, 0.373], [0.500, 0.373, 0.500]], "crystal_system": "cubic", "ef_kcal_per_mol_atoms": -25.36, "n_ef_per_ev_fu": 3.3}


3.
{"formula": "NbGaRhCl2", "functional": "PBE-GGA", "state": "relaxed", "lattice_angstrom": [[4.704, 0.000, 0.000], [0.000, 5.060, 0.000], [0.000, 0.000, 4.704]], "species": ["Rh", "Cl", "Cl", "Ga", "Nb"], "fractional_positions": [[0.000, 0.000, 0.000], [0.500, 0.000, 0.000], [0.000, 0.000, 0.500], [0.500, 0.500, 0.500], [0.000, 0.500, 0.000]], "e_form_raw_mev_per_atom": 445, "crystal_system": "tetragonal", "n_ef_per_ev_fu": 3.6}


4.
{"formula": "Dy5CdFe2", "functional": "PBE-GGA", "state": "relaxed", "lattice_angstrom": [[6.856, 0.000, -3.236], [-1.528, 6.683, -3.236], [-0.075, -0.094, 8.721]], "species": ["Dy", "Dy", "Dy", "Dy", "Dy", "Dy", "Dy", "Dy", "Dy", "Dy", "Fe", "Fe", "Fe", "Fe", "Cd", "Cd"], "fractional_positions": [[0.534, 0.695, 0.729], [0.466, 0.305, 0.271], [0.000, 0.000, 0.000], [0.500, 0.500, 0.000], [0.805, 0.966, 0.271], [0.034, 0.534, 0.729], [0.305, 0.805, 0.271], [0.195, 0.034, 0.729], [0.966, 0.466, 0.271], [0.695, 0.195, 0.729], [0.391, 0.891, 0.000], [0.609, 0.109, 0.000], [0.109, 0.391, 0.000], [0.891, 0.609, 0.000], [0.750, 0.750, 0.500], [0.250, 0.250, 0.500]], "crystal_system": "tetragonal", "ef_kcal_per_mol_atoms": -1.68, "n_ef_per_ev_fu": 8.6}


5.
{"formula": "Be2ZnPt3", "functional": "PBE-GGA", "state": "relaxed", "lattice_angstrom": [[2.801, 0.000, 0.000], [0.000, 2.801, 0.000], [0.000, 0.000, 9.642]], "species": ["Be", "Be", "Pt", "Pt", "Pt", "Zn"], "fractional_positions": [[0.500, 0.500, 0.844], [0.500, 0.500, 0.156], [0.000, 0.000, 0.698], [0.000, 0.000, 0.302], [0.000, 0.000, 0.000], [0.500, 0.500, 0.500]], "crystal_system": "tetragonal", "ef_kcal_per_mol_atoms": -16.60, "n_ef_per_ev_fu": 0.8}


6.
{"formula": "RbTc2Rh", "functional": "PBE-GGA", "state": "relaxed", "lattice_angstrom": [[0.000, 3.248, 3.248], [3.248, 0.000, 3.248], [3.248, 3.248, 0.000]], "species": ["Rh", "Tc", "Tc", "Rb"], "fractional_positions": [[0.500, 0.500, 0.500], [0.750, 0.750, 0.750], [0.250, 0.250, 0.250], [0.000, 0.000, 0.000]], "crystal_system": "cubic", "ef_kcal_per_mol_atoms": 38.73, "e_above_lowest_polymorph_kcal_per_mol_atoms": 0.22, "n_ef_per_ev_fu": 4.4}


7.
{"formula": "KSiTc2", "functional": "PBE-GGA", "state": "relaxed", "lattice_angstrom": [[5.543, -0.006, 0.000], [-2.611, 4.890, 0.000], [0.000, 0.000, 2.543]], "species": ["Si", "K", "Tc", "Tc"], "fractional_positions": [[0.000, 0.500, 0.500], [0.500, 0.000, 0.500], [0.500, 0.500, 0.000], [0.000, 0.000, 0.000]], "e_form_raw_mev_per_atom": 1205, "crystal_system": "orthorhombic", "n_ef_per_ev_fu": 3.5}


8.
{"formula": "Er2CoTc3", "functional": "PBE-GGA", "state": "relaxed", "lattice_angstrom": [[-2.033, 0.407, -4.779], [3.217, -3.937, 1.134], [-3.225, -1.459, 4.089]], "species": ["Tc", "Tc", "Tc", "Er", "Er", "Co"], "fractional_positions": [[0.000, 0.000, 0.500], [0.500, 0.500, 0.500], [0.500, 0.000, 0.500], [0.249, 0.625, 0.874], [0.751, 0.375, 0.126], [0.000, 0.000, 0.000]], "crystal_system": "trigonal", "ef_kcal_per_mol_atoms": -4.75, "n_ef_per_ev_fu": 6.5}


9.
{"formula": "In4Pb3", "functional": "PBE-GGA", "state": "relaxed", "lattice_angstrom": [[-2.009, 2.859, 0.009], [-0.019, 0.002, -4.963], [-8.657, -8.226, 2.511]], "species": ["In", "In", "In", "In", "Pb", "Pb", "Pb"], "fractional_positions": [[0.571, 0.071, 0.142], [0.429, 0.929, 0.858], [0.287, 0.787, 0.574], [0.713, 0.213, 0.426], [0.145, 0.645, 0.291], [0.855, 0.355, 0.709], [0.000, 0.500, 0.000]], "crystal_system": "orthorhombic", "ef_kcal_per_mol_atoms": 0.40, "e_above_lowest_polymorph_kcal_per_mol_atoms": 0.04, "n_ef_per_ev_fu": 3.5}


10.
{"formula": "Y3Ga4Pd4", "functional": "PBE-GGA", "state": "relaxed", "lattice_angstrom": [[4.450, 0.000, 0.000], [0.000, 3.661, 0.000], [-2.225, -1.831, 13.191]], "species": ["Ga", "Ga", "Ga", "Ga", "Pd", "Pd", "Pd", "Pd", "Y", "Y", "Y"], "fractional_positions": [[0.191, 0.691, 0.383], [0.549, 0.549, 0.097], [0.809, 0.309, 0.617], [0.451, 0.451, 0.903], [0.905, 0.405, 0.810], [0.095, 0.595, 0.190], [0.258, 0.258, 0.515], [0.742, 0.742, 0.485], [0.356, 0.856, 0.712], [0.000, 0.000, 0.000], [0.644, 0.144, 0.288]], "crystal_system": "orthorhombic", "ef_kcal_per_mol_atoms": -19.12, "e_above_lowest_polymorph_kcal_per_mol_atoms": 0.23, "n_ef_per_ev_fu": 6.0}


11.
{"formula": "Tb3Zn2Ag", "functional": "PBE-GGA", "state": "relaxed", "lattice_angstrom": [[3.604, 0.000, 0.000], [0.000, 3.604, 0.000], [0.000, 0.000, 10.799]], "species": ["Tb", "Tb", "Tb", "Zn", "Zn", "Ag"], "fractional_positions": [[0.000, 0.000, 0.000], [0.000, 0.000, 0.674], [0.000, 0.000, 0.326], [0.500, 0.500, 0.161], [0.500, 0.500, 0.839], [0.500, 0.500, 0.500]], "crystal_system": "tetragonal", "ef_kcal_per_mol_atoms": -7.79, "n_ef_per_ev_fu": 5.2}


12.
{"formula": "PmBe2PtO6", "functional": "PBE-GGA", "state": "relaxed", "lattice_angstrom": [[5.778, 0.079, 0.082], [1.914, 6.459, 0.196], [1.914, -0.043, 6.461]], "species": ["O", "O", "O", "O", "O", "O", "O", "O", "O", "O", "O", "O", "Be", "Be", "Be", "Be", "Pm", "Pm", "Pt", "Pt"], "fractional_positions": [[0.308, 0.285, 0.399], [0.878, 0.399, 0.821], [0.706, 0.771, 0.983], [0.692, 0.715, 0.601], [0.622, 0.179, 0.601], [0.122, 0.601, 0.179], [0.808, 0.399, 0.285], [0.378, 0.821, 0.399], [0.294, 0.229, 0.017], [0.794, 0.017, 0.229], [0.192, 0.601, 0.715], [0.206, 0.983, 0.771], [0.131, 0.367, 0.229], [0.369, 0.771, 0.633], [0.869, 0.633, 0.771], [0.631, 0.229, 0.367], [0.750, 0.116, 0.884], [0.250, 0.884, 0.116], [0.250, 0.285, 0.715], [0.750, 0.715, 0.285]], "e_form_raw_mev_per_atom": -1904, "crystal_system": "monoclinic", "n_ef_per_ev_fu": 4.6}


13.
{"formula": "La2Cu4HgGe3", "functional": "PBE-GGA", "state": "relaxed", "lattice_angstrom": [[4.297, 0.000, 0.000], [0.000, 4.297, 0.000], [0.000, 0.000, 10.396]], "species": ["Hg", "Cu", "Cu", "Cu", "Cu", "La", "La", "Ge", "Ge", "Ge"], "fractional_positions": [[0.500, 0.500, 0.500], [0.000, 0.500, 0.356], [0.000, 0.000, 0.000], [0.500, 0.000, 0.644], [0.500, 0.500, 0.000], [0.500, 0.000, 0.234], [0.000, 0.500, 0.766], [0.000, 0.000, 0.500], [0.500, 0.000, 0.875], [0.000, 0.500, 0.125]], "crystal_system": "tetragonal", "ef_kcal_per_mol_atoms": -10.45, "n_ef_per_ev_fu": 4.8}


14.
{"formula": "Ac3PrHg2", "functional": "PBE-GGA", "state": "relaxed", "lattice_angstrom": [[4.001, 0.000, 0.000], [0.000, 4.001, 0.000], [0.000, 0.000, 13.446]], "species": ["Hg", "Hg", "Ac", "Ac", "Ac", "Pr"], "fractional_positions": [[0.500, 0.500, 0.845], [0.500, 0.500, 0.155], [0.000, 0.000, 0.000], [0.000, 0.000, 0.696], [0.000, 0.000, 0.304], [0.500, 0.500, 0.500]], "crystal_system": "tetragonal", "ef_kcal_per_mol_atoms": -7.01, "e_above_lowest_polymorph_kcal_per_mol_atoms": 0.00, "n_ef_per_ev_fu": 6.9}


15.
{"formula": "SmDy3Y2Tm6", "functional": "PBE-GGA", "state": "relaxed", "lattice_angstrom": [[-5.919, 1.500, 0.108], [1.755, -5.316, -2.441], [0.288, -3.802, 11.035]], "species": ["Tm", "Tm", "Tm", "Tm", "Tm", "Tm", "Sm", "Dy", "Dy", "Dy", "Y", "Y"], "fractional_positions": [[0.583, 0.916, 0.748], [0.751, 0.751, 0.252], [0.916, 0.583, 0.748], [0.417, 0.084, 0.252], [0.084, 0.417, 0.252], [0.249, 0.249, 0.748], [0.000, 0.000, 0.000], [0.833, 0.167, 0.500], [0.167, 0.833, 0.500], [0.500, 0.500, 0.500], [0.667, 0.333, 0.000], [0.333, 0.667, 0.000]], "crystal_system": "monoclinic", "ef_kcal_per_mol_atoms": 0.56, "n_ef_per_ev_fu": 16.7}


16.
{"formula": "Cd4IrCl", "functional": "PBE-GGA", "state": "relaxed", "lattice_angstrom": [[0.000, 3.993, 3.993], [3.993, 0.000, 3.993], [3.993, 3.993, 0.000]], "species": ["Cd", "Cd", "Cd", "Cd", "Cl", "Ir"], "fractional_positions": [[0.374, 0.374, 0.877], [0.877, 0.374, 0.374], [0.374, 0.877, 0.374], [0.374, 0.374, 0.374], [0.750, 0.750, 0.750], [0.000, 0.000, 0.000]], "e_form_raw_mev_per_atom": 443, "crystal_system": "cubic", "n_ef_per_ev_fu": 4.2}


17.
{"formula": "TiMnS2Br", "functional": "PBE-GGA", "state": "relaxed", "lattice_angstrom": [[-1.884, 3.878, 1.568], [0.725, -1.538, 4.674], [4.129, 1.999, 0.017]], "species": ["Ti", "S", "S", "Br", "Mn"], "fractional_positions": [[0.500, 0.500, 0.500], [0.500, 0.000, 0.000], [0.000, 0.000, 0.500], [0.000, 0.500, 0.000], [0.000, 0.000, 0.000]], "e_form_raw_mev_per_atom": 107, "crystal_system": "tetragonal", "n_ef_per_ev_fu": 5.0}


18.
{"formula": "NbZnNi", "functional": "PBE-GGA", "state": "relaxed", "lattice_angstrom": [[-3.407, -1.105, 2.333], [3.177, -1.491, 3.933], [-0.291, 6.988, 2.885]], "species": ["Ni", "Ni", "Ni", "Ni", "Zn", "Zn", "Zn", "Zn", "Nb", "Nb", "Nb", "Nb"], "fractional_positions": [[0.500, 0.000, 0.665], [0.500, 0.000, 0.335], [0.000, 0.500, 0.835], [0.000, 0.500, 0.165], [0.000, 0.000, 0.170], [0.000, 0.000, 0.830], [0.500, 0.500, 0.330], [0.500, 0.500, 0.670], [0.500, 0.745, 0.000], [0.500, 0.255, 0.000], [0.000, 0.755, 0.500], [0.000, 0.245, 0.500]], "crystal_system": "orthorhombic", "ef_kcal_per_mol_atoms": -4.29, "n_ef_per_ev_fu": 1.8}


19.
{"formula": "NaAlInPb2", "functional": "PBE-GGA", "state": "relaxed", "lattice_angstrom": [[5.840, 0.000, 0.000], [0.000, 5.437, 0.000], [0.000, 0.000, 5.840]], "species": ["Pb", "Pb", "Al", "In", "Na"], "fractional_positions": [[0.000, 0.000, 0.500], [0.500, 0.000, 0.000], [0.000, 0.500, 0.000], [0.000, 0.000, 0.000], [0.500, 0.500, 0.500]], "crystal_system": "tetragonal", "ef_kcal_per_mol_atoms": 10.21, "e_above_lowest_polymorph_kcal_per_mol_atoms": 2.79, "n_ef_per_ev_fu": 3.1}


20.
{"formula": "Al3BiBr", "functional": "PBE-GGA", "state": "relaxed", "lattice_angstrom": [[5.264, 0.000, 0.000], [0.000, 5.264, 0.000], [0.000, 0.000, 5.264]], "species": ["Al", "Al", "Al", "Br", "Bi"], "fractional_positions": [[0.000, 0.000, 0.500], [0.500, 0.000, 0.000], [0.000, 0.500, 0.000], [0.000, 0.000, 0.000], [0.500, 0.500, 0.500]], "e_form_raw_mev_per_atom": 685, "crystal_system": "cubic", "e_above_lowest_polymorph_kcal_per_mol_atoms": 0.00, "n_ef_per_ev_fu": 3.6}


21.
{"formula": "Er3BiOs", "functional": "PBE-GGA", "state": "relaxed", "lattice_angstrom": [[4.894, 0.000, 0.000], [-2.447, 7.412, -0.801], [0.000, -3.701, 7.952]], "species": ["Bi", "Bi", "Er", "Er", "Er", "Er", "Er", "Er", "Os", "Os"], "fractional_positions": [[0.358, 0.716, 0.513], [0.642, 0.284, 0.487], [0.069, 0.138, 0.213], [0.601, 0.203, 0.809], [0.931, 0.862, 0.787], [0.751, 0.501, 0.233], [0.249, 0.499, 0.767], [0.399, 0.797, 0.191], [0.167, 0.334, 0.004], [0.833, 0.666, 0.996]], "crystal_system": "monoclinic", "ef_kcal_per_mol_atoms": -9.77, "n_ef_per_ev_fu": 2.2}


22.
{"formula": "Tb4GaNi2", "functional": "PBE-GGA", "state": "relaxed", "lattice_angstrom": [[-2.361, 3.999, -0.995], [-4.597, -0.187, -1.177], [-4.471, 2.060, 7.554]], "species": ["Tb", "Tb", "Tb", "Tb", "Ni", "Ni", "Ga"], "fractional_positions": [[0.382, 0.382, 0.854], [0.205, 0.205, 0.384], [0.795, 0.795, 0.616], [0.618, 0.618, 0.146], [0.905, 0.905, 0.284], [0.095, 0.095, 0.716], [0.000, 0.000, 0.000]], "crystal_system": "trigonal", "ef_kcal_per_mol_atoms": -7.11, "n_ef_per_ev_fu": 4.4}


23.
{"formula": "ScNiMo", "functional": "PBE-GGA", "state": "relaxed", "lattice_angstrom": [[7.272, 0.000, 0.005], [0.000, 3.136, 0.000], [-5.157, 0.000, 8.690]], "species": ["Sc", "Sc", "Sc", "Sc", "Mo", "Mo", "Mo", "Mo", "Ni", "Ni", "Ni", "Ni"], "fractional_positions": [[0.780, 0.500, 0.071], [0.482, 0.500, 0.676], [0.482, 0.000, 0.176], [0.780, 0.000, 0.571], [0.175, 0.500, 0.854], [0.939, 0.500, 0.397], [0.175, 0.000, 0.354], [0.939, 0.000, 0.897], [0.480, 0.000, 0.892], [0.480, 0.500, 0.392], [0.166, 0.500, 0.132], [0.166, 0.000, 0.632]], "crystal_system": "monoclinic", "ef_kcal_per_mol_atoms": -0.94, "e_above_lowest_polymorph_kcal_per_mol_atoms": 1.72, "n_ef_per_ev_fu": 3.0}


24.
{"formula": "TlHgPt", "functional": "PBE-GGA", "state": "relaxed", "lattice_angstrom": [[-0.588, 0.415, 6.578], [2.200, -1.223, 6.121], [1.701, 2.672, 0.794]], "species": ["Hg", "Tl", "Pt"], "fractional_positions": [[0.979, 0.979, 0.021], [0.684, 0.684, 0.316], [0.337, 0.337, 0.663]], "crystal_system": "tetragonal", "ef_kcal_per_mol_atoms": 2.89, "e_above_lowest_polymorph_kcal_per_mol_atoms": 3.89, "n_ef_per_ev_fu": 0.7}